SrZnCu2F | PBE-GGA | optimized geometry

Cell and atoms, written as POSCAR:
```
SrZnCu2F
1.0
5.720 0.000 0.000
0.000 5.720 0.000
0.000 0.000 4.447
Sr Zn Cu F
1 1 2 1
Direct
0.000 0.000 0.000
0.500 0.500 0.500
0.000 0.500 0.000
0.500 0.000 0.000
0.000 0.000 0.500
```

Results
**Formation energy (no corrections)**: -0.082 eV per atom
**Density**: 3.414 g cm⁻³
**Space-group type**: P4/mmm, No. 123